First-principles (PBE) data for a relaxed Sm6DyIn6 crystal, as listed in the Alexandria database.

a = 6.3475 Å, b = 6.3475 Å, c = 10.9576 Å
α = 90.00°, β = 90.00°, γ = 120.00°
Last column: nearest neighbours and their distance in Å.
Fractional coordinates of all 13 atoms:
Sm1 0.0000 0.0000 0.6668  6 In 3.31, 1 Dy 3.65, 1 Sm 3.66
In1 0.5000 0.0000 0.7538  4 In 3.17, 6 Sm 3.26-3.33
Sm2 0.3333 0.6667 0.5000  6 In 3.33, 3 Sm 3.66
In2 0.5000 0.5000 0.2462  4 In 3.17, 6 Sm 3.26-3.33
Sm3 0.6667 0.3333 0.0000  6 In 3.26
Sm4 0.3333 0.6667 0.0000  6 In 3.26
In3 0.5000 0.0000 0.2462  4 In 3.17, 6 Sm 3.26-3.33
Sm5 0.0000 0.0000 0.3332  6 In 3.31, 1 Dy 3.65, 1 Sm 3.66
Dy1 0.0000 0.0000 0.0000  8 Sm 3.65-3.66
Sm6 0.6667 0.3333 0.5000  6 In 3.33, 3 Sm 3.66
In4 0.0000 0.5000 0.7538  4 In 3.17, 6 Sm 3.26-3.33
In5 0.0000 0.5000 0.2462  4 In 3.17, 6 Sm 3.26-3.33
In6 0.5000 0.5000 0.7538  4 In 3.17, 6 Sm 3.26-3.33

Summary:
- ΔE_f: -0.323 eV/atom
- Calculated total energy: -4.119 eV/atom
- Magnetic moment: 1.49 μB per formula unit
- N(E_F): 15.87 states/eV per cell
- Space group: No. 191



First-principles (PBE) data for a relaxed KNb2B crystal, as listed in the Alexandria database.

a = 6.4338 Å, b = 6.4338 Å, c = 7.1223 Å
α = 63.15°, β = 63.15°, γ = 90.00°
Last column: nearest neighbours and their distance in Å.
Fractional coordinates of all 8 atoms:
B1 0.5000 0.5000 0.0000  4 Nb 2.11
B2 0.2500 0.7500 0.5000  4 Nb 2.11
Nb1 0.3746 0.6250 0.2500  2 B 2.11
Nb2 0.3754 0.1250 0.2500  2 B 2.11
Nb3 0.3750 0.6246 0.7500  2 B 2.11
K1 0.7500 0.2500 0.5000  8 Nb 3.85, 4 K 4.23, 4 B 4.23
K2 0.0000 0.0000 0.0000  8 Nb 3.85, 4 K 4.23, 4 B 4.23
Nb4 0.8750 0.6254 0.7500  2 B 2.11

Summary:
- ΔE_f: 1.312 eV/atom
- Calculated total energy: -5.666 eV/atom
- Magnetic moment: 2.95 μB per formula unit
- N(E_F): 7.77 states/eV per cell
- Space group: No. 141



First-principles (PBE) data for a relaxed YZnFe2 crystal, as listed in the Alexandria database.

a = 3.2983 Å, b = 3.2983 Å, c = 6.1406 Å
α = 90.00°, β = 90.00°, γ = 90.00°
Last column: nearest neighbours and their distance in Å.
Fractional coordinates of all 4 atoms:
Fe1 0.0000 0.0000 0.9332  1 Fe 2.25
Y1 0.5000 0.5000 0.2500  8 Fe 3.04, 2 Zn 3.07, 4 Y 3.30
Zn1 0.5000 0.5000 0.7500  8 Fe 2.59
Fe2 0.0000 0.0000 0.5668  1 Fe 2.25

Summary:
- ΔE_f: 0.131 eV/atom
- Calculated total energy: -6.035 eV/atom
- Magnetic moment: 4.13 μB per formula unit
- N(E_F): 3.97 states/eV per cell
- Space group: No. 123



Question: Look up the ΔE_f of the first one.
Answer: -0.323 eV/atom



Question: Look up the N(E_F) of the first one.
Answer: 15.87 states/eV per cell



Question: Which value of ΔE_f does entry 1 give?
Answer: -0.323 eV/atom



Question: What is the formula in the first record?
Answer: Sm6DyIn6